Computed, not measured: crystalline Li2CoWC at its relaxed geometry at the PBE level of DFT.

Lattice parameters (Å, degrees): 3.772 3.772 4.536 90.00 90.00 90.00
Fractional coordinates of all 5 atoms:
Li 0.000 0.500 0.000
Li 0.500 0.000 0.000
Co 0.000 0.000 0.000
W 0.000 0.000 0.500
C 0.500 0.500 0.500

ρ: 6.910 g cm⁻³
ΔE_f: 1788 meV per atom
space group: P4/mmm, No. 123
DFT total energy: -4.8345 eV/atom
DOS at the Fermi energy: 0.76 states/eV/atom